Material: ErMg2Cd2In2
Method: DFT, PBE
State: relaxed

The value obtained for the total magnetic moment is 0.00 Bohr magnetons per cell. The calculation puts the total energy at -16.29 eV per formula unit. The value obtained for the volume is 517.31 Å³/cell. The value obtained for the mass density is 6.46 Mg/m³. The calculation puts the formation energy at -175 meV/atom.

The space group is R-3m (No. 166, hexagonal axes) and the conventional cell measures 4.8366, 4.8366 and 25.5318 Å, with angles of 90.00, 90.00 and 120.00 degrees. The distinct sites, in fractional coordinates, are Er at (0.0000, 0.0000, 0.0000), Mg at (0.0000, 0.0000, 0.1329), Cd at (0.0000, 0.0000, 0.2485) and In at (0.0000, 0.0000, 0.3907).



Material: NaErCdIn
Method: DFT, PBE
State: relaxed

The value obtained for the total magnetic moment is 0.00 Bohr magnetons per cell. The calculation puts the total energy at -10.37 eV per formula unit. The value obtained for the volume is 403.55 Å³/cell. The value obtained for the mass density is 6.87 Mg/m³. The calculation puts the formation energy at -209 meV/atom.

The space group is F-43m (No. 216) and the conventional cell measures 7.390, 7.390 and 7.390 Å, with angles of 90.00, 90.00 and 90.00 degrees. The distinct sites, in fractional coordinates, are Na at (0.000, 0.000, 0.000), Er at (0.000, 0.000, 0.500), Cd at (0.250, 0.250, 0.750) and In at (0.250, 0.250, 0.250).



Material: NdEr2Cd2In2
Method: DFT, PBE
State: relaxed

The value obtained for the total magnetic moment is 0.00 Bohr magnetons per cell. The calculation puts the total energy at -23.03 eV per formula unit. The value obtained for the volume is 573.18 Å³/cell. The value obtained for the mass density is 8.11 Mg/m³. The calculation puts the formation energy at -262 meV/atom.

The space group is R-3m (No. 166, hexagonal axes) and the conventional cell measures 4.9617, 4.9617 and 26.8843 Å, with angles of 90.00, 90.00 and 120.00 degrees. The distinct sites, in fractional coordinates, are Nd at (0.0000, 0.0000, 0.0000), Er at (0.0000, 0.0000, 0.1294), Cd at (0.0000, 0.0000, 0.4049) and In at (0.0000, 0.0000, 0.2571).



Material: ErCdInNi
Method: DFT, PBE
State: relaxed

The value obtained for the total magnetic moment is 0.00 Bohr magnetons per cell. The calculation puts the total energy at -14.97 eV per formula unit. The value obtained for the volume is 318.83 Å³/cell. The value obtained for the mass density is 9.44 Mg/m³. The calculation puts the formation energy at -243 meV/atom.

The space group is F-43m (No. 216) and the conventional cell measures 6.832, 6.832 and 6.832 Å, with angles of 90.00, 90.00 and 90.00 degrees. The distinct sites, in fractional coordinates, are Er at (0.000, 0.000, 0.000), Cd at (0.250, 0.250, 0.750), In at (0.000, 0.000, 0.500) and Ni at (0.250, 0.250, 0.250).



Material: Er4CdInO
Method: DFT, PBE
State: relaxed

The value obtained for the total magnetic moment is 0.00 Bohr magnetons per cell. The calculation puts the total energy at -33.91 eV per formula unit. The value obtained for the raw formation energy is -1.006 eV/atom. The value obtained for the volume is 680.50 Å³/cell. The value obtained for the mass density is 8.90 Mg/m³.

The space group is Cmcm (No. 63) and the conventional cell measures 6.540, 15.905 and 6.542 Å, with angles of 90.00, 90.00 and 90.00 degrees. The distinct sites, in fractional coordinates, are Er at (0.000, 0.077, 0.250), Er at (0.000, 0.419, 0.250), Er at (0.250, 0.250, 0.000), Cd at (0.000, 0.116, 0.750), In at (0.000, 0.387, 0.750) and O at (0.000, 0.251, 0.250).



Material: ErCdIn4O8
Method: DFT, PBE
State: relaxed

The value obtained for the total magnetic moment is 0.00 Bohr magnetons per cell. The calculation puts the total energy at -81.09 eV per formula unit. The value obtained for the raw formation energy is -1.785 eV/atom. The value obtained for the volume is 624.93 Å³/cell. The value obtained for the mass density is 6.91 Mg/m³.

The space group is R3m (No. 160, hexagonal axes) and the conventional cell measures 6.6267, 6.6267 and 16.4328 Å, with angles of 90.00, 90.00 and 120.00 degrees. The distinct sites, in fractional coordinates, are Er at (0.0000, 0.0000, 0.0000), Cd at (0.0000, 0.0000, 0.3739), In at (0.0000, 0.0000, 0.6240), In at (0.1676, 0.3352, 0.8319), O at (0.0000, 0.0000, 0.2348), O at (0.0000, 0.0000, 0.7611), O at (0.0333, 0.5167, 0.7540) and O at (0.1789, 0.3578, 0.5777).



Material: ErCdInPb
Method: DFT, PBE
State: relaxed

The value obtained for the total magnetic moment is 0.00 Bohr magnetons per cell. The calculation puts the total energy at -12.34 eV per formula unit. The value obtained for the volume is 429.16 Å³/cell. The value obtained for the mass density is 9.31 Mg/m³. The calculation puts the formation energy at -105 meV/atom.

The space group is F-43m (No. 216) and the conventional cell measures 7.543, 7.543 and 7.543 Å, with angles of 90.00, 90.00 and 90.00 degrees. The distinct sites, in fractional coordinates, are Er at (0.000, 0.000, 0.000), Cd at (0.000, 0.000, 0.500), In at (0.250, 0.250, 0.750) and Pb at (0.250, 0.250, 0.250).



Material: ErCdInPb
Method: DFT, PBE
State: relaxed

The value obtained for the total magnetic moment is 0.00 Bohr magnetons per cell. The calculation puts the total energy at -13.20 eV per formula unit. The value obtained for the volume is 101.83 Å³/cell. The value obtained for the mass density is 9.81 Mg/m³. The calculation puts the formation energy at -319 meV/atom.

The space group is Pmmm (No. 47) and the conventional cell measures 4.543, 4.658 and 4.813 Å, with angles of 90.00, 90.00 and 90.00 degrees. The distinct sites, in fractional coordinates, are Er at (0.000, 0.000, 0.000), Cd at (0.000, 0.500, 0.500), In at (0.500, 0.000, 0.500) and Pb at (0.500, 0.500, 0.000).



Among the records above, which one has the highest mass density?
number 8